DFT (GGA-PBE) results for an optimized crystal structure of HfZrO2.

Summary:
ΔE_f (raw) (eV per atom): -2.171
Offset from the most stable computed form (meV/atom): 270

CIF file:
```
data_HfZrO2
_cell_length_a 4.985
_cell_length_b 4.985
_cell_length_c 10.001
_cell_angle_alpha 90.00
_cell_angle_beta 90.00
_cell_angle_gamma 90.00
_space_group_name_H-M_alt 'I -4 2 d'
_space_group_IT_number 122
_space_group_name_Hall 'I -4 2bw'
loop_
_atom_site_label
_atom_site_fract_x
_atom_site_fract_y
_atom_site_fract_z
Hf1 0.000 0.000 0.000
Zr1 0.000 0.000 0.500
O1 0.225 0.250 0.125
```